{"formula": "Pm2BiSe", "functional": "PBE", "state": "relaxed", "polymorph_energy_mev_per_atom": 232, "spacegroup": "No. 156", "e_form_raw_mev_per_atom": -1134.6, "lattice": [[-2.4399, -3.7454, 0.5816], [1.8208, 0.9016, -4.0238], [6.5677, -3.9546, 2.0858]], "species": ["Pm", "Pm", "Bi", "Se"], "fractional_positions": [[0.6667, 0.3333, 0.2189], [0.3333, 0.6667, 0.7530], [0.0000, 0.0000, 0.9992], [0.6667, 0.3333, 0.5739]]}

---

{"formula": "Pm4BiSe2", "functional": "PBE", "state": "relaxed", "spacegroup": "No. 63", "e_form_raw_mev_per_atom": -1310.4, "lattice": [[4.2808, 0.0000, 0.0000], [-2.1404, 6.8646, 0.0000], [0.0000, 0.0000, 14.1954]], "species": ["Pm", "Pm", "Pm", "Pm", "Pm", "Pm", "Pm", "Pm", "Bi", "Bi", "Se", "Se", "Se", "Se"], "fractional_positions": [[0.7684, 0.5368, 0.1194], [0.7684, 0.5368, 0.3806], [0.2316, 0.4632, 0.8806], [0.2316, 0.4632, 0.6194], [0.9349, 0.8699, 0.7500], [0.0651, 0.1301, 0.2500], [0.5000, 0.0000, 0.0000], [0.5000, 0.0000, 0.5000], [0.6070, 0.2140, 0.7500], [0.3930, 0.7860, 0.2500], [0.1349, 0.2698, 0.4399], [0.8651, 0.7302, 0.9399], [0.1349, 0.2698, 0.0601], [0.8651, 0.7302, 0.5601]]}

---

{"formula": "Pm6BiSe5", "functional": "PBE", "state": "relaxed", "spacegroup": "No. 12", "e_form_raw_mev_per_atom": -1668.6, "lattice": [[7.3312, 0.1687, 1.1083], [1.7933, 6.1788, 3.6025], [0.1244, 0.0669, 7.3696]], "species": ["Bi", "Se", "Se", "Se", "Se", "Se", "Pm", "Pm", "Pm", "Pm", "Pm", "Pm"], "fractional_positions": [[0.0000, 0.0000, 0.0000], [0.5000, 0.1601, 0.6798], [0.0000, 0.3320, 0.3359], [0.5000, 0.5000, 0.0000], [0.0000, 0.6680, 0.6641], [0.5000, 0.8399, 0.3202], [0.7366, 0.0883, 0.3451], [0.2634, 0.5667, 0.3451], [0.2582, 0.2612, 0.0000], [0.7418, 0.7388, 0.0000], [0.7366, 0.4333, 0.6549], [0.2634, 0.9117, 0.6549]]}

---

{"formula": "Pm6Si2BiSe3", "functional": "PBE", "state": "relaxed", "spacegroup": "No. 12", "e_form_raw_mev_per_atom": -1335.3, "lattice": [[-3.4397, -2.1896, -1.3173], [1.8355, -6.2713, 5.6313], [-3.7944, 6.7769, 5.6130]], "species": ["Pm", "Pm", "Pm", "Pm", "Pm", "Pm", "Si", "Si", "Bi", "Se", "Se", "Se"], "fractional_positions": [[0.3276, 0.8991, 0.6553], [0.6703, 0.5778, 0.3406], [0.6724, 0.1009, 0.3447], [0.0063, 0.2649, 0.0125], [0.9937, 0.7351, 0.9875], [0.3297, 0.4222, 0.6594], [0.8324, 0.6640, 0.6647], [0.1676, 0.3360, 0.3353], [0.5000, 0.0000, 0.0000], [0.5000, 0.5000, 0.0000], [0.8358, 0.1659, 0.6716], [0.1642, 0.8341, 0.3284]]}

---

{"formula": "PmSmBiSe", "functional": "PBE", "state": "relaxed", "spacegroup": "No. 160", "e_form_raw_mev_per_atom": -1301.3, "lattice": [[4.3112, 0.0002, -0.0004], [-2.1545, 3.7329, 0.0001], [-2.1551, -1.2441, 7.4690]], "species": ["Pm", "Sm", "Bi", "Se"], "fractional_positions": [[0.9544, 0.3752, 0.3449], [0.3208, 0.5583, 0.8944], [0.4721, 0.1340, 0.6211], [0.1305, 0.9632, 0.1093]]}

---

{"formula": "Pm4SnBi2Se", "functional": "PBE", "state": "relaxed", "spacegroup": "No. 10", "e_form_raw_mev_per_atom": -1102.1, "lattice": [[-3.4636, -0.2163, -2.7998], [-0.1947, -7.7197, 0.8371], [-4.6632, -1.8202, 5.9093]], "species": ["Pm", "Pm", "Pm", "Pm", "Sn", "Bi", "Bi", "Se"], "fractional_positions": [[0.0000, 0.7402, 0.7494], [0.0000, 0.2598, 0.2506], [0.5000, 0.7387, 0.2545], [0.5000, 0.2613, 0.7455], [0.5000, 0.5000, 0.0000], [0.0000, 0.0000, 0.0000], [0.5000, 0.0000, 0.5000], [0.0000, 0.5000, 0.5000]]}

---

{"formula": "Pm6Sn2BiSe3", "functional": "PBE", "state": "relaxed", "spacegroup": "No. 12", "e_form_raw_mev_per_atom": -1315.4, "lattice": [[4.3825, 0.0000, 0.0000], [0.0000, 8.7412, 0.3482], [-2.1913, -2.4870, 9.1889]], "species": ["Pm", "Pm", "Pm", "Pm", "Pm", "Pm", "Sn", "Sn", "Bi", "Se", "Se", "Se"], "fractional_positions": [[0.3293, 0.9173, 0.6585], [0.6652, 0.5877, 0.3304], [0.6707, 0.0827, 0.3415], [0.9998, 0.2607, 0.9996], [0.0002, 0.7393, 0.0004], [0.3348, 0.4123, 0.6696], [0.8331, 0.6661, 0.6662], [0.1669, 0.3339, 0.3338], [0.5000, 0.0000, 0.0000], [0.5000, 0.5000, 0.0000], [0.8345, 0.1663, 0.6690], [0.1655, 0.8337, 0.3310]]}

---

{"formula": "Pm6Bi3Te2Se", "functional": "PBE", "state": "relaxed", "spacegroup": "No. 12", "e_form_raw_mev_per_atom": -1245.6, "lattice": [[4.4844, 0.0000, 0.0000], [0.0000, 8.9496, 0.3338], [-2.2422, -2.5587, 9.4376]], "species": ["Pm", "Pm", "Pm", "Pm", "Pm", "Pm", "Bi", "Bi", "Bi", "Te", "Te", "Se"], "fractional_positions": [[0.3425, 0.9210, 0.6850], [0.6649, 0.5857, 0.3298], [0.6575, 0.0790, 0.3150], [0.9980, 0.2340, 0.9960], [0.0020, 0.7660, 0.0040], [0.3351, 0.4143, 0.6702], [0.5000, 0.5000, 0.0000], [0.8293, 0.1630, 0.6586], [0.1707, 0.8370, 0.3414], [0.8339, 0.6657, 0.6679], [0.1661, 0.3343, 0.3321], [0.5000, 0.0000, 0.0000]]}